[1]
Compound: TiTl2P
Source: the Alexandria database
Functional: PBE-GGA
Structure: optimized geometry

```
TiTl2P
1.0
8.040 0.000 0.000
0.000 8.040 0.000
4.020 4.020 2.858
P Tl Ti
2 4 2
direct
0.500 0.500 0.000 P
0.250 0.750 0.500 P
0.602 0.125 0.250 Tl
0.148 0.625 0.250 Tl
0.375 0.398 0.750 Tl
0.875 0.852 0.750 Tl
0.000 0.000 0.000 Ti
0.750 0.250 0.500 Ti
```

Results
As for the offset from the most stable computed form: 0 meV per atom.

[2]
Compound: TiTl2P
Source: the Alexandria database
Functional: PBE-GGA
Structure: optimized geometry

```
TiTl2P
1.0
4.232 -1.923 1.971
1.924 1.952 4.241
-0.189 -2.633 4.304
P Tl Ti
1 2 1
direct
0.000 0.000 0.000 P
0.250 0.250 0.250 Tl
0.750 0.750 0.750 Tl
0.500 0.500 0.500 Ti
```

Results
As for the offset from the most stable computed form: 170 meV per atom.

[3]
Compound: TiTlP2
Source: the Alexandria database
Functional: PBE-GGA
Structure: optimized geometry

```
TiTlP2
1.0
-0.657 -3.675 -2.858
-4.240 -0.798 -1.867
-0.713 0.693 -4.595
P Tl Ti
2 1 1
direct
0.250 0.250 0.250 P
0.750 0.750 0.750 P
0.500 0.500 0.500 Tl
0.000 0.000 0.000 Ti
```

Results
As for the offset from the most stable computed form: 384 meV per atom.

[4]
Compound: TiTl2P2
Source: the Alexandria database
Functional: PBE-GGA
Structure: optimized geometry

```
TiTl2P2
1.0
-3.974 -1.261 4.834
3.518 -5.092 1.565
3.088 3.168 3.365
P Tl Ti
4 4 2
direct
0.377 0.877 0.000 P
0.877 0.623 0.000 P
0.623 0.123 0.000 P
0.123 0.377 0.000 P
0.195 0.695 0.500 Tl
0.695 0.805 0.500 Tl
0.805 0.305 0.500 Tl
0.305 0.195 0.500 Tl
0.000 0.000 0.000 Ti
0.500 0.500 0.000 Ti
```

Which magnetic moment belongs to each record? In order, 2.919 2.441 0.000 2.232 Bohr magnetons per cell.
Which DFT total energy belongs to each record? In order, -4.107 -3.937 -5.010 -4.732 eV per atom.
Which formation energy belongs to each record? In order, 0.402 0.572 0.260 -0.043 eV/atom.